(w)
Below is crystalline Ac2BeGe3 at its relaxed geometry, with properties calculated at the PBE-GGA level.

Summary:
SG: Fmmm
Magnetic moment (μB/cell): 0.000

Cell and atoms, written as POSCAR:
```
Ac2BeGe3
1.0
5.9256 -0.1279 -2.1104
-1.3323 5.7753 -2.1104
0.0102 0.0125 8.4158
Ac Be Ge
4 2 6
direct
0.7500 0.2500 0.5000
0.7572 0.2428 0.0000
0.2500 0.7500 0.5000
0.2428 0.7572 0.0000
0.6665 0.6665 0.3330
0.3335 0.3335 0.6670
0.8187 0.8187 0.1752
0.6435 0.6435 0.8248
0.1813 0.1813 0.8248
0.3565 0.3565 0.1752
0.1762 0.1762 0.3524
0.8238 0.8238 0.6476
```

(x)
Below is crystalline Ac2BeGe3 at its relaxed geometry, with properties calculated at the PBE-GGA level.

Summary:
SG: Pmm2
Magnetic moment (μB/cell): 0.000

Cell and atoms, written as POSCAR:
```
Ac2BeGe3
1.0
4.7142 0.0000 0.0000
0.0000 4.2021 0.0000
0.0000 0.0000 7.2828
Ac Be Ge
2 1 3
direct
0.0000 0.5000 0.9993
0.0000 0.0000 0.5031
0.5000 0.5000 0.3244
0.5000 0.0000 0.8398
0.5000 0.0000 0.1922
0.5000 0.5000 0.6411
```

Relative energies, eV/atom: (w) 0.000; (x) 0.018.

(w)
Below is crystalline AcBeIn at its relaxed geometry, with properties calculated at the PBE-GGA level.

Summary:
SG: I4mm
Magnetic moment (μB/cell): 0.000

Cell and atoms, written as POSCAR:
```
AcBeIn
1.0
3.5349 0.0000 0.0000
0.0000 3.5349 0.0000
-1.7674 -1.7674 6.0744
Be Ac In
1 1 1
direct
0.6888 0.6888 0.3775
0.0131 0.0131 0.0262
0.2981 0.2981 0.5963
```

(x)
Below is crystalline AcBeIn at its relaxed geometry, with properties calculated at the PBE-GGA level.

Summary:
SG: Cmce
Magnetic moment (μB/cell): 0.000

Cell and atoms, written as POSCAR:
```
AcBeIn
1.0
-3.3844 -5.3039 0.9249
5.9197 -2.3151 0.1981
0.2221 1.2517 7.9904
Be Ac In
4 4 4
direct
0.9002 0.9002 0.1013
0.5998 0.5998 0.6013
0.0998 0.0998 0.8987
0.4002 0.4002 0.3987
0.6922 0.3078 0.0000
0.3078 0.6922 0.0000
0.1922 0.8078 0.5000
0.8078 0.1922 0.5000
0.6910 0.6910 0.3110
0.1910 0.1910 0.1890
0.8090 0.8090 0.8110
0.3090 0.3090 0.6890
```

Relative energies, eV/atom: (w) 0.196; (x) 0.000.

(w)
Below is crystalline AcBeIr at its relaxed geometry, with properties calculated at the PBE-GGA level.

Summary:
SG: P2_1/c
Magnetic moment (μB/cell): 0.000

Cell and atoms, written as POSCAR:
```
AcBeIr
1.0
7.0716 0.0000 -0.4806
0.0000 8.0415 0.0000
-3.1943 0.0000 4.9485
Ac Be Ir
4 4 4
direct
0.8233 0.5724 0.1319
0.6767 0.0724 0.8681
0.1767 0.4276 0.8681
0.3233 0.9276 0.1319
0.3640 0.6625 0.5410
0.1360 0.1625 0.4590
0.6360 0.3375 0.4590
0.8640 0.8375 0.5410
0.1733 0.8855 0.5285
0.3267 0.3855 0.4715
0.8267 0.1145 0.4715
0.6733 0.6145 0.5285
```

(x)
Below is crystalline AcBeIr at its relaxed geometry, with properties calculated at the PBE-GGA level.

Summary:
SG: P-6m2
Magnetic moment (μB/cell): 0.000

Cell and atoms, written as POSCAR:
```
AcBeIr
1.0
4.4832 0.0000 0.0000
0.0000 4.0482 0.0000
0.0000 -2.0241 3.5058
Be Ac Ir
1 1 1
direct
0.1666 0.3333 0.6667
0.6668 0.6667 0.3333
0.1666 0.0000 0.0000
```

Relative energies, eV/atom: (w) 0.070; (x) 0.000.